No. 1
First-principles (PBE) data for a geometry-optimized Ca2TmS3 structure, as listed in the Alexandria database.

POSCAR file:
```
Ca2TmS3
1.0
0.000 5.596 11.855
3.964 0.000 11.855
3.964 5.596 0.000
Ca Tm S
8 4 12
direct
0.043 0.043 0.207
0.124 0.124 0.626
0.207 0.207 0.043
0.374 0.374 0.876
0.626 0.626 0.124
0.793 0.793 0.957
0.876 0.876 0.374
0.957 0.957 0.793
0.292 0.292 0.458
0.458 0.458 0.292
0.542 0.542 0.708
0.708 0.708 0.542
0.040 0.540 0.219
0.134 0.616 0.616
0.219 0.701 0.040
0.299 0.781 0.460
0.384 0.866 0.866
0.460 0.960 0.299
0.540 0.040 0.701
0.616 0.134 0.134
0.701 0.219 0.540
0.781 0.299 0.960
0.866 0.384 0.384
0.960 0.460 0.781
```

Summary:
The value obtained for the uncorrected formation energy is -200 kJ/mol of atoms. Its space group is Fddd (70). Its mass density is 4.360 g/cm3.


No. 2
First-principles (PBE) data for a geometry-optimized Ba3Nd3TmS8 structure, as listed in the Alexandria database.

POSCAR file:
```
Ba3Nd3TmS8
1.0
4.151 2.396 7.296
-4.151 2.396 7.296
0.000 -4.793 7.296
Ba Nd Tm S
3 3 1 8
direct
0.000 0.500 0.500
0.500 0.000 0.500
0.500 0.500 0.000
0.000 0.000 0.500
0.000 0.500 0.000
0.500 0.000 0.000
0.500 0.500 0.500
0.240 0.240 0.240
0.250 0.729 0.729
0.271 0.271 0.750
0.271 0.750 0.271
0.729 0.250 0.729
0.729 0.729 0.250
0.750 0.271 0.271
0.760 0.760 0.760
```

Summary:
The value obtained for the uncorrected formation energy is -198 kJ/mol of atoms. Its space group is R-3m (166). Its mass density is 4.843 g/cm3.


No. 3
First-principles (PBE) data for a geometry-optimized SmHoRuPt structure, as listed in the Alexandria database.

POSCAR file:
```
SmHoRuPt
1.0
0.000 3.474 3.474
3.474 0.000 3.474
3.474 3.474 0.000
Sm Ho Ru Pt
1 1 1 1
direct
0.000 0.000 0.000
0.500 0.500 0.500
0.750 0.750 0.750
0.250 0.250 0.250
```

Summary:
Its space group is F-43m (216). For the energy of formation from the pure elements, the calculation gives -277 kJ/mol of formula units. Its mass density is 12.112 g/cm3.


No. 4
First-principles (PBE) data for a geometry-optimized Sr2FeRh structure, as listed in the Alexandria database.

POSCAR file:
```
Sr2FeRh
1.0
-4.160 4.160 3.093
4.160 -4.160 3.093
4.160 4.160 -3.093
Sr Fe Rh
4 2 2
direct
0.088 0.625 0.963
0.375 0.338 0.463
0.662 0.125 0.037
0.875 0.912 0.537
0.250 0.750 0.500
0.500 0.500 0.000
0.000 0.000 0.000
0.750 0.250 0.500
```

Summary:
Its space group is I-42d (122). For the energy of formation from the pure elements, the calculation gives 231 kJ/mol of formula units. Its mass density is 5.181 g/cm3.


No. 5
First-principles (PBE) data for a geometry-optimized InPd structure, as listed in the Alexandria database.

POSCAR file:
```
InPd
1.0
3.299 0.000 0.000
0.000 3.299 0.000
0.000 0.000 3.299
In Pd
1 1
direct
0.000 0.000 0.000
0.500 0.500 0.500
```

Summary:
Its space group is Pm-3m (221). For the energy of formation from the pure elements, the calculation gives -95 kJ/mol of formula units. Its mass density is 10.230 g/cm3.


No. 6
First-principles (PBE) data for a geometry-optimized MnNbAs2Cl structure, as listed in the Alexandria database.

POSCAR file:
```
MnNbAs2Cl
1.0
4.613 0.000 0.000
0.000 4.613 0.000
0.000 0.000 4.409
Mn Nb As Cl
1 1 2 1
direct
0.000 0.000 0.000
0.500 0.500 0.500
0.000 0.500 0.000
0.500 0.000 0.000
0.000 0.000 0.500
```

Summary:
The value obtained for the uncorrected formation energy is 68 kJ/mol of atoms. Its space group is P4/mmm (123). Its mass density is 5.897 g/cm3.


No. 7
First-principles (PBE) data for a geometry-optimized TbMgBiPb structure, as listed in the Alexandria database.

POSCAR file:
```
TbMgBiPb
1.0
0.000 3.833 3.833
3.833 0.000 3.833
3.833 3.833 0.000
Tb Mg Bi Pb
1 1 1 1
direct
0.000 0.000 0.000
0.500 0.500 0.500
0.750 0.750 0.750
0.250 0.250 0.250
```

Summary:
Its space group is F-43m (216). For the energy of formation from the pure elements, the calculation gives -94 kJ/mol of formula units. Its mass density is 8.838 g/cm3.


No. 8
First-principles (PBE) data for a geometry-optimized SrZn2In structure, as listed in the Alexandria database.

POSCAR file:
```
SrZn2In
1.0
3.856 0.000 0.000
0.000 3.432 4.113
0.000 -3.432 4.113
Sr Zn In
1 2 1
direct
0.000 0.000 0.000
0.500 0.123 0.478
0.500 0.478 0.123
0.500 0.611 0.611
```

Summary:
Its space group is Amm2 (38). For the energy of formation from the pure elements, the calculation gives -39 kJ/mol of formula units. Its mass density is 5.083 g/cm3.


No. 9
First-principles (PBE) data for a geometry-optimized Ac2LaUN4 structure, as listed in the Alexandria database.

POSCAR file:
```
Ac2LaUN4
1.0
1.833 -6.519 0.000
1.833 6.519 0.000
0.000 0.000 13.350
Ac La U N
4 2 2 8
direct
0.129 0.871 0.533
0.129 0.871 0.967
0.871 0.129 0.033
0.871 0.129 0.467
0.408 0.592 0.750
0.592 0.408 0.250
0.319 0.681 0.250
0.681 0.319 0.750
0.072 0.928 0.750
0.200 0.800 0.142
0.200 0.800 0.358
0.500 0.500 0.000
0.500 0.500 0.500
0.800 0.200 0.642
0.800 0.200 0.858
0.928 0.072 0.250
```

Summary:
The value obtained for the uncorrected formation energy is -90 kJ/mol of atoms. Its space group is Cmcm (63). Its mass density is 9.233 g/cm3.


No. 10
First-principles (PBE) data for a geometry-optimized Tm2CoC structure, as listed in the Alexandria database.

POSCAR file:
```
Tm2CoC
1.0
1.742 1.006 6.784
-1.742 1.006 6.784
0.000 -2.012 6.784
Tm Co C
2 1 1
direct
0.233 0.233 0.233
0.767 0.767 0.767
0.000 0.000 0.000
0.500 0.500 0.500
```

Summary:
Its space group is R-3m (166). For the energy of formation from the pure elements, the calculation gives -14 kJ/mol of formula units. Its mass density is 9.519 g/cm3.


No. 11
First-principles (PBE) data for a geometry-optimized ZrCd2Pt structure, as listed in the Alexandria database.

POSCAR file:
```
ZrCd2Pt
1.0
3.074 0.000 0.000
0.000 3.074 0.000
0.000 0.000 8.326
Zr Cd Pt
1 2 1
direct
0.000 0.000 0.000
0.500 0.500 0.276
0.500 0.500 0.724
0.000 0.000 0.500
```

Summary:
Its space group is P4/mmm (123). For the energy of formation from the pure elements, the calculation gives -75 kJ/mol of formula units. Its mass density is 10.789 g/cm3.


No. 12
First-principles (PBE) data for a geometry-optimized PrSmAgHg structure, as listed in the Alexandria database.

POSCAR file:
```
PrSmAgHg
1.0
0.000 3.789 3.789
3.789 0.000 3.789
3.789 3.789 0.000
Pr Sm Ag Hg
1 1 1 1
direct
0.000 0.000 0.000
0.500 0.500 0.500
0.750 0.750 0.750
0.250 0.250 0.250
```

Summary:
Its space group is F-43m (216). For the energy of formation from the pure elements, the calculation gives -142 kJ/mol of formula units. Its mass density is 9.152 g/cm3.


No. 13
First-principles (PBE) data for a geometry-optimized Y2Ni structure, as listed in the Alexandria database.

POSCAR file:
```
Y2Ni
1.0
1.801 -6.174 0.000
1.801 6.174 0.000
0.000 0.000 6.639
Y Ni
4 2
direct
0.021 0.979 0.500
0.284 0.716 0.671
0.716 0.284 0.171
0.979 0.021 0.000
0.384 0.616 0.277
0.616 0.384 0.777
```

Summary:
Its space group is Cmc2_1 (36). For the energy of formation from the pure elements, the calculation gives -77 kJ/mol of formula units. Its mass density is 5.322 g/cm3.


No. 14
First-principles (PBE) data for a geometry-optimized CeTmZnSn structure, as listed in the Alexandria database.

POSCAR file:
```
CeTmZnSn
1.0
0.000 3.691 3.691
3.691 0.000 3.691
3.691 3.691 0.000
Ce Tm Zn Sn
1 1 1 1
direct
0.000 0.000 0.000
0.500 0.500 0.500
0.750 0.750 0.750
0.250 0.250 0.250
```

Summary:
Its space group is F-43m (216). For the energy of formation from the pure elements, the calculation gives -165 kJ/mol of formula units. Its mass density is 8.144 g/cm3.


No. 15
First-principles (PBE) data for a geometry-optimized BeAlTe2S structure, as listed in the Alexandria database.

POSCAR file:
```
BeAlTe2S
1.0
5.259 0.000 0.000
0.000 5.259 0.000
0.000 0.000 4.870
Be Al Te S
1 1 2 1
direct
0.000 0.000 0.000
0.500 0.500 0.000
0.000 0.500 0.500
0.500 0.000 0.500
0.500 0.500 0.500
```

Summary:
The value obtained for the uncorrected formation energy is 82 kJ/mol of atoms. Its space group is P4/mmm (123). Its mass density is 3.985 g/cm3.


No. 16
First-principles (PBE) data for a geometry-optimized AlGaBi2 structure, as listed in the Alexandria database.

POSCAR file:
```
AlGaBi2
1.0
3.719 0.000 0.000
0.000 3.719 0.000
0.000 0.000 7.459
Al Ga Bi
1 1 2
direct
0.000 0.000 0.000
0.000 0.000 0.500
0.500 0.500 0.237
0.500 0.500 0.763
```

Summary:
Its space group is P4/mmm (123). For the energy of formation from the pure elements, the calculation gives 75 kJ/mol of formula units. Its mass density is 8.282 g/cm3.


No. 17
First-principles (PBE) data for a geometry-optimized Dy2Tl4Cd structure, as listed in the Alexandria database.

POSCAR file:
```
Dy2Tl4Cd
1.0
6.683 -2.796 0.000
6.683 2.796 0.000
-1.851 0.000 5.572
Dy Tl Cd
2 4 1
direct
0.143 0.143 0.083
0.857 0.857 0.917
0.000 0.000 0.500
0.251 0.251 0.660
0.500 0.500 0.000
0.749 0.749 0.340
0.500 0.500 0.500
```

Summary:
Its space group is C2/m (12). For the energy of formation from the pure elements, the calculation gives 6 kJ/mol of formula units. Its mass density is 10.008 g/cm3.


No. 18
First-principles (PBE) data for a geometry-optimized AgPAu4 structure, as listed in the Alexandria database.

POSCAR file:
```
AgPAu4
1.0
0.000 3.885 3.885
3.885 0.000 3.885
3.885 3.885 0.000
Ag P Au
1 1 4
direct
0.000 0.000 0.000
0.250 0.250 0.250
0.125 0.625 0.625
0.625 0.125 0.625
0.625 0.625 0.125
0.625 0.625 0.625
```

Summary:
Its space group is F-43m (216). For the energy of formation from the pure elements, the calculation gives 221 kJ/mol of formula units. Its mass density is 13.121 g/cm3.


No. 19
First-principles (PBE) data for a geometry-optimized KHf2CoH structure, as listed in the Alexandria database.

POSCAR file:
```
KHf2CoH
1.0
4.632 0.000 0.000
0.000 4.632 0.000
0.000 0.000 6.770
K Hf Co H
1 2 1 1
direct
0.000 0.000 0.000
0.000 0.500 0.500
0.500 0.000 0.500
0.000 0.000 0.500
0.500 0.500 0.000
```

Summary:
Its space group is P4/mmm (123). Its mass density is 5.214 g/cm3.


No. 20
First-principles (PBE) data for a geometry-optimized Y2SeBr structure, as listed in the Alexandria database.

POSCAR file:
```
Y2SeBr
1.0
3.813 0.000 0.000
0.000 4.396 0.000
-0.107 0.000 6.589
Y Se Br
2 1 1
direct
0.240 0.000 0.270
0.760 0.000 0.730
0.500 0.500 0.500
0.000 0.500 0.000
```

Summary:
The value obtained for the uncorrected formation energy is -108 kJ/mol of atoms. Its space group is P2/m (10). Its mass density is 5.061 g/cm3.


no.,energy (eV/atom)
1,-5.55
2,-5.89
3,-6.87
4,-4.20
5,-4.46
6,-5.37
7,-3.70
8,-1.84
9,-8.14
10,-6.36
11,-4.30
12,-3.53
13,-6.50
14,-4.35
15,-2.72
16,-3.44
17,-2.79
18,-3.18
19,-5.39
20,-5.65